Entry 1:
Density functional theory data (GGA-PBE) for an optimized crystal structure of BeFeCoTc.

Results
**DOS at the Fermi energy**: 0.56 states/eV per atom
**SG**: No. 216
**Formation energy from the elements**: -0.033 eV/atom

a = 3.9791 Å, b = 3.9791 Å, c = 3.9791 Å
α = 60.00°, β = 60.00°, γ = 60.00°
Closest atoms and distances in Å follow each position.
Sites, in units of the cell vectors:
1 Be 0.2500 0.2500 0.2500  4 Co 2.44, 4 Tc 2.44
2 Co 0.0000 0.0000 0.0000  4 Fe 2.44, 4 Be 2.44
3 Tc 0.5000 0.5000 0.5000  4 Be 2.44, 4 Fe 2.44
4 Fe 0.7500 0.7500 0.7500  4 Tc 2.44, 4 Co 2.44

=====

Entry 2:
Density functional theory data (GGA-PBE) for an optimized crystal structure of Pr4DyTm2Mg.

Results
**DOS at the Fermi energy**: 1.24 states/eV per atom
**SG**: No. 123
**Formation energy from the elements**: 0.040 eV/atom

a = 5.7854 Å, b = 5.7872 Å, c = 9.6992 Å
α = 53.38°, β = 90.00°, γ = 90.00°
Closest atoms and distances in Å follow each position.
Sites, in units of the cell vectors:
1 Pr 0.0000 0.7594 0.7404  2 Mg 3.44-3.45, 4 Tm 3.45-3.53, 2 Dy 3.53, 1 Pr 3.74
2 Pr 0.0000 0.2406 0.2596  2 Mg 3.44-3.45, 4 Tm 3.45-3.53, 2 Dy 3.53, 1 Pr 3.74
3 Pr 0.5000 0.7396 0.2606  4 Tm 3.44-3.53, 2 Mg 3.44, 2 Dy 3.53, 1 Pr 3.73
4 Pr 0.5000 0.2604 0.7394  4 Tm 3.44-3.53, 2 Mg 3.44, 2 Dy 3.53, 1 Pr 3.73
5 Dy 0.5000 0.5000 0.0000  8 Pr 3.53, 2 Tm 3.89
6 Tm 0.0000 0.0000 0.0000  8 Pr 3.53, 2 Mg 3.89
7 Tm 0.5000 0.0000 0.5000  8 Pr 3.44-3.45
8 Mg 0.0000 0.5000 0.5000  8 Pr 3.44-3.45

=====

Entry 3:
Density functional theory data (GGA-PBE) for an optimized crystal structure of LiPd2.

Results
**DOS at the Fermi energy**: 0.86 states/eV per atom
**SG**: No. 139
**Formation energy from the elements**: -0.264 eV/atom

a = 2.8884 Å, b = 2.8884 Å, c = 5.4155 Å
α = 105.47°, β = 105.47°, γ = 90.00°
Closest atoms and distances in Å follow each position.
Sites, in units of the cell vectors:
1 Pd 0.6548 0.6548 0.3096  4 Li 2.57, 4 Pd 2.80
2 Pd 0.3452 0.3452 0.6904  4 Li 2.57, 4 Pd 2.80
3 Li 0.0000 0.0000 0.0000  8 Pd 2.57

=====

Entry 4:
Density functional theory data (GGA-PBE) for an optimized crystal structure of ScGeNF.

Results
**DOS at the Fermi energy**: 0.03 states/eV per atom
**SG**: No. 8
**Excess energy over the best structure of this formula in the dataset**: 0.351 eV/atom
**Formation energy without anion corrections**: -1417 meV per atom

a = 5.1387 Å, b = 3.3826 Å, c = 10.1048 Å
α = 90.00°, β = 111.06°, γ = 90.00°
Closest atoms and distances in Å follow each position.
Sites, in units of the cell vectors:
1 Sc 0.7918 0.0000 0.5831  1 F 2.01, 2 N 2.03
2 Sc 0.7918 0.5000 0.0831  1 F 2.01, 2 N 2.03
3 Ge 0.1917 0.0000 0.0107  1 N 1.80
4 Ge 0.1917 0.5000 0.5107  1 N 1.80
5 N 0.5589 0.0000 0.0395  1 Ge 1.80
6 N 0.5589 0.5000 0.5395  1 Ge 1.80
7 F 0.0253 0.0000 0.7907  1 Sc 2.01, 1 Ge 2.08
8 F 0.0253 0.5000 0.2907  1 Sc 2.01, 1 Ge 2.08